Entry 1:
A relaxed structure of PrZrZn. Source: Alexandria, functional PBE-GGA.

E above lowest polymorph (eV per formula unit): 0.00
Calculated formation energy (eV per atom): -0.126

Unit cell a=4.564 b=4.564 c=7.338 alpha=90.00 beta=90.00 gamma=90.00
Fractional positions:
Pr 0.250 0.250 0.149
Pr 0.750 0.750 0.851
Zr 0.250 0.750 0.500
Zr 0.750 0.250 0.500
Zn 0.250 0.250 0.733
Zn 0.750 0.750 0.267

Entry 2:
A relaxed structure of Pr2ZrZn. Source: Alexandria, functional PBE-GGA.

E above lowest polymorph (eV per formula unit): 0.00
Calculated formation energy (eV per atom): -0.030

Unit cell a=3.513 b=3.513 c=8.857 alpha=90.00 beta=90.00 gamma=90.00
Fractional positions:
Pr 0.000 0.000 0.230
Pr 0.000 0.000 0.770
Zr 0.500 0.500 0.500
Zn 0.500 0.500 0.000

Copy entry 2 word for word.
A relaxed structure of Pr2ZrZn. Source: Alexandria, functional PBE-GGA.

E above lowest polymorph (eV per formula unit): 0.00
Calculated formation energy (eV per atom): -0.030

Unit cell a=3.513 b=3.513 c=8.857 alpha=90.00 beta=90.00 gamma=90.00
Fractional positions:
Pr 0.000 0.000 0.230
Pr 0.000 0.000 0.770
Zr 0.500 0.500 0.500
Zn 0.500 0.500 0.000